[1]
{
  "formula": "TeOs",
  "functional": "PBE",
  "state": "optimized geometry",
  "spacegroup": "No. 11",
  "e_form_raw_kj_per_mol_atoms": 40.77,
  "magnetic_moment_mub_per_cell": 0.000,
  "cell": [[3.6957, 0.0000, 0.0000], [0.0000, 2.8878, -0.0162], [0.0000, -0.0325, 8.7400]],
  "species": ["Te", "Te", "Os", "Os"],
  "fractional_positions": [[0.0000, 0.6169, 0.5797], [0.5000, 0.1331, 0.1703], [0.0000, 0.1270, 0.9438], [0.5000, 0.6230, 0.8062]]
}

[2]
{
  "formula": "TeOs",
  "functional": "PBE",
  "state": "optimized geometry",
  "spacegroup": "No. 166",
  "e_form_raw_kj_per_mol_atoms": 82.08,
  "magnetic_moment_mub_per_cell": 0.000,
  "cell": [[4.5008, -0.0101, -0.0064], [3.3415, 3.0153, -0.0064], [3.3415, 1.2805, 2.7299]],
  "species": ["Te", "Os"],
  "fractional_positions": [[0.5000, 0.5000, 0.5000], [0.0000, 0.0000, 0.0000]]
}

[3]
{
  "formula": "TeOs3",
  "functional": "PBE",
  "state": "optimized geometry",
  "spacegroup": "No. 221",
  "e_form_raw_kj_per_mol_atoms": 91.69,
  "magnetic_moment_mub_per_cell": 0.000,
  "cell": [[-3.8132, 0.0493, -1.1641], [-0.4238, -3.7695, 1.2286], [-1.0853, 1.2987, 3.6102]],
  "species": ["Os", "Os", "Os", "Te"],
  "fractional_positions": [[0.5000, 0.5000, 0.0000], [0.5000, 0.0000, 0.5000], [0.0000, 0.5000, 0.5000], [0.0000, 0.0000, 0.0000]]
}

[4]
{
  "formula": "TeOs2",
  "functional": "PBE",
  "state": "optimized geometry",
  "spacegroup": "No. 8",
  "e_form_raw_kj_per_mol_atoms": 42.75,
  "magnetic_moment_mub_per_cell": 0.000,
  "cell": [[1.4668, 4.3565, -0.2522], [-1.4668, 4.3565, -0.2522], [0.0000, 1.3202, 9.6138]],
  "species": ["Os", "Os", "Os", "Os", "Te", "Te"],
  "fractional_positions": [[0.2161, 0.2161, 0.5165], [0.4833, 0.4833, 0.6536], [0.0227, 0.0227, 0.8683], [0.7517, 0.7517, 0.7353], [0.7458, 0.7458, 0.0310], [0.9471, 0.9471, 0.3619]]
}

[5]
{
  "formula": "TeOs2",
  "functional": "PBE",
  "state": "optimized geometry",
  "spacegroup": "No. 194",
  "e_form_raw_kj_per_mol_atoms": 95.19,
  "magnetic_moment_mub_per_cell": 0.000,
  "cell": [[2.2447, -3.8879, 0.0000], [2.2447, 3.8879, 0.0000], [0.0000, 0.0000, 5.7086]],
  "species": ["Os", "Os", "Os", "Os", "Te", "Te"],
  "fractional_positions": [[0.0000, 0.0000, 0.5000], [0.3333, 0.6667, 0.2500], [0.6667, 0.3333, 0.7500], [0.0000, 0.0000, 0.0000], [0.6667, 0.3333, 0.2500], [0.3333, 0.6667, 0.7500]]
}

[6]
{
  "formula": "TeOs3",
  "functional": "PBE",
  "state": "optimized geometry",
  "spacegroup": "No. 65",
  "e_form_raw_kj_per_mol_atoms": 85.41,
  "magnetic_moment_mub_per_cell": 0.000,
  "cell": [[4.7872, 0.0181, 0.0000], [-1.3332, 4.5979, 0.0000], [0.0000, 0.0000, 2.9057]],
  "species": ["Os", "Os", "Os", "Te"],
  "fractional_positions": [[0.5000, 0.5000, 0.0000], [0.5000, 0.0000, 0.5000], [0.0000, 0.5000, 0.5000], [0.0000, 0.0000, 0.0000]]
}

[7]
{
  "formula": "TeOs",
  "functional": "PBE",
  "state": "optimized geometry",
  "spacegroup": "No. 136",
  "e_form_raw_kj_per_mol_atoms": 70.92,
  "magnetic_moment_mub_per_cell": 0.000,
  "cell": [[-5.4980, -5.3794, 1.5853], [3.2000, -1.1861, 7.0733], [-1.9224, 2.3365, 1.2615]],
  "species": ["Os", "Os", "Os", "Os", "Te", "Te", "Te", "Te"],
  "fractional_positions": [[0.8738, 0.1262, 0.5000], [0.6262, 0.6262, 0.0000], [0.1262, 0.8738, 0.5000], [0.3738, 0.3738, 0.0000], [0.8026, 0.8026, 0.5000], [0.1974, 0.1974, 0.5000], [0.6974, 0.3026, 0.0000], [0.3026, 0.6974, 0.0000]]
}

[8]
{
  "formula": "TeOs3",
  "functional": "PBE",
  "state": "optimized geometry",
  "spacegroup": "No. 187",
  "e_form_raw_kj_per_mol_atoms": 68.84,
  "magnetic_moment_mub_per_cell": 0.000,
  "cell": [[2.8917, 0.0000, 0.0000], [-1.4458, 2.5043, 0.0000], [0.0000, 0.0000, 9.1165]],
  "species": ["Os", "Os", "Os", "Te"],
  "fractional_positions": [[0.0000, 0.0000, 0.0255], [0.0000, 0.0000, 0.4745], [0.6667, 0.3333, 0.2500], [0.6667, 0.3333, 0.7500]]
}

[9]
{
  "formula": "TeOs",
  "functional": "PBE",
  "state": "optimized geometry",
  "spacegroup": "No. 8",
  "e_form_raw_kj_per_mol_atoms": 48.78,
  "magnetic_moment_mub_per_cell": 0.000,
  "cell": [[-3.6688, -6.0880, -1.1308], [-2.5866, -5.4700, -3.8976], [4.4816, -5.0788, 0.6187]],
  "species": ["Te", "Te", "Te", "Os", "Os", "Os"],
  "fractional_positions": [[0.3571, 0.3571, 0.3388], [0.7621, 0.7621, 0.8836], [0.0903, 0.0903, 0.4775], [0.5910, 0.5910, 0.8001], [0.9441, 0.9441, 0.9868], [0.4220, 0.4220, 0.6798]]
}

[10]
{
  "formula": "TeOs2",
  "functional": "PBE",
  "state": "optimized geometry",
  "spacegroup": "No. 123",
  "e_form_raw_kj_per_mol_atoms": 108.42,
  "magnetic_moment_mub_per_cell": 0.000,
  "cell": [[-1.9226, -2.3633, -2.0521], [1.7382, -2.8091, 1.6065], [-3.1306, -0.1566, 3.1135]],
  "species": ["Te", "Os", "Os"],
  "fractional_positions": [[0.0000, 0.0000, 0.0000], [0.5000, 0.0000, 0.5000], [0.0000, 0.5000, 0.5000]]
}

[11]
{
  "formula": "Te4Os5",
  "functional": "PBE",
  "state": "optimized geometry",
  "spacegroup": "No. 139",
  "e_form_raw_kj_per_mol_atoms": 68.59,
  "magnetic_moment_mub_per_cell": 0.000,
  "cell": [[-5.1332, 5.1332, 1.7944], [5.1332, -5.1332, 1.7944], [5.1332, 5.1332, -1.7944]],
  "species": ["Os", "Os", "Os", "Os", "Os", "Te", "Te", "Te", "Te"],
  "fractional_positions": [[0.3636, 0.3636, 0.7271], [0.6364, 0.6364, 0.2729], [0.0000, 0.0000, 0.0000], [0.6364, 0.3636, 0.0000], [0.3636, 0.6364, 0.0000], [0.0000, 0.2863, 0.2863], [0.7137, 0.0000, 0.7137], [0.0000, 0.7137, 0.7137], [0.2863, 0.0000, 0.2863]]
}

[12]
{
  "formula": "TeOs3",
  "functional": "PBE",
  "state": "optimized geometry",
  "spacegroup": "No. 166",
  "e_form_raw_kj_per_mol_atoms": 78.51,
  "magnetic_moment_mub_per_cell": 0.000,
  "cell": [[9.0340, 0.0160, 0.0094], [8.5600, 2.8879, 0.0094], [8.5600, 1.4128, 2.5187]],
  "species": ["Os", "Os", "Os", "Te"],
  "fractional_positions": [[0.5000, 0.5000, 0.5000], [0.2459, 0.2459, 0.2459], [0.7541, 0.7541, 0.7541], [0.0000, 0.0000, 0.0000]]
}

[13]
{
  "formula": "TeOs",
  "functional": "PBE",
  "state": "optimized geometry",
  "spacegroup": "No. 38",
  "e_form_raw_kj_per_mol_atoms": 59.42,
  "magnetic_moment_mub_per_cell": 0.000,
  "cell": [[3.9968, 0.0000, 0.0000], [0.0000, 11.2162, 0.0000], [0.0000, 0.0000, 5.7496]],
  "species": ["Te", "Te", "Te", "Te", "Te", "Te", "Os", "Os", "Os", "Os", "Os", "Os"],
  "fractional_positions": [[0.0000, 0.0000, 0.1794], [0.5000, 0.8296, 0.7554], [0.0000, 0.5000, 0.6794], [0.5000, 0.3296, 0.2554], [0.5000, 0.6704, 0.2554], [0.5000, 0.1704, 0.7554], [0.0000, 0.2948, 0.9246], [0.5000, 0.5000, 0.9626], [0.0000, 0.7052, 0.9246], [0.0000, 0.2052, 0.4246], [0.0000, 0.7948, 0.4246], [0.5000, 0.0000, 0.4626]]
}

[14]
{
  "formula": "TeOs",
  "functional": "PBE",
  "state": "optimized geometry",
  "spacegroup": "No. 62",
  "e_form_raw_kj_per_mol_atoms": 53.11,
  "magnetic_moment_mub_per_cell": 0.000,
  "cell": [[-2.7095, -1.2159, 0.8529], [2.4556, -1.8664, 5.1405], [-2.1861, 7.5189, 3.7742]],
  "species": ["Te", "Te", "Te", "Te", "Os", "Os", "Os", "Os"],
  "fractional_positions": [[0.7500, 0.0974, 0.6571], [0.7500, 0.5974, 0.8429], [0.2500, 0.4026, 0.1571], [0.2500, 0.9026, 0.3429], [0.2500, 0.3231, 0.4583], [0.7500, 0.6769, 0.5417], [0.2500, 0.8231, 0.0417], [0.7500, 0.1769, 0.9583]]
}

[15]
{
  "formula": "TeOs2",
  "functional": "PBE",
  "state": "optimized geometry",
  "spacegroup": "No. 189",
  "e_form_raw_kj_per_mol_atoms": 115.51,
  "magnetic_moment_mub_per_cell": 0.005,
  "cell": [[3.3566, -5.8138, 0.0000], [3.3566, 5.8138, 0.0000], [0.0000, 0.0000, 4.0152]],
  "species": ["Os", "Os", "Os", "Os", "Os", "Os", "Te", "Te", "Te"],
  "fractional_positions": [[0.0000, 0.6156, 0.5000], [0.6156, 0.0000, 0.5000], [0.0000, 0.2627, 0.0000], [0.2627, 0.0000, 0.0000], [0.7373, 0.7373, 0.0000], [0.3844, 0.3844, 0.5000], [0.0000, 0.0000, 0.5000], [0.6667, 0.3333, 0.0000], [0.3333, 0.6667, 0.0000]]
}

[16]
{
  "formula": "Te3Os4",
  "functional": "PBE",
  "state": "optimized geometry",
  "spacegroup": "No. 191",
  "e_form_raw_kj_per_mol_atoms": 181.63,
  "magnetic_moment_mub_per_cell": 0.579,
  "cell": [[2.9470, -5.1043, 0.0000], [2.9470, 5.1043, 0.0000], [0.0000, 0.0000, 4.6887]],
  "species": ["Os", "Os", "Os", "Os", "Te", "Te", "Te"],
  "fractional_positions": [[0.0000, 0.0000, 0.7437], [0.0000, 0.0000, 0.2563], [0.6667, 0.3333, 0.5000], [0.3333, 0.6667, 0.5000], [0.0000, 0.5000, 0.0000], [0.5000, 0.5000, 0.0000], [0.5000, 0.0000, 0.0000]]
}

[17]
{
  "formula": "TeOs",
  "functional": "PBE",
  "state": "optimized geometry",
  "spacegroup": "No. 227",
  "e_form_raw_kj_per_mol_atoms": 134.44,
  "magnetic_moment_mub_per_cell": 0.000,
  "cell": [[4.7701, 0.0000, 0.0000], [2.3850, 4.1310, 0.0000], [2.3850, 1.3770, 3.8948]],
  "species": ["Os", "Os", "Te", "Te"],
  "fractional_positions": [[0.2500, 0.2500, 0.2500], [0.0000, 0.0000, 0.0000], [0.7500, 0.7500, 0.7500], [0.5000, 0.5000, 0.5000]]
}

[18]
{
  "formula": "TeOs3",
  "functional": "PBE",
  "state": "optimized geometry",
  "spacegroup": "No. 194",
  "e_form_raw_kj_per_mol_atoms": 93.35,
  "magnetic_moment_mub_per_cell": 0.000,
  "cell": [[1.0252, 4.7694, 3.2343], [-5.1431, -0.6418, -2.7194], [-1.5855, -2.0152, 3.4742]],
  "species": ["Te", "Te", "Os", "Os", "Os", "Os", "Os", "Os"],
  "fractional_positions": [[0.3333, 0.6667, 0.2500], [0.6667, 0.3333, 0.7500], [0.8357, 0.6714, 0.2500], [0.3286, 0.1643, 0.2500], [0.1643, 0.8357, 0.7500], [0.8357, 0.1643, 0.2500], [0.6714, 0.8357, 0.7500], [0.1643, 0.3286, 0.7500]]
}

[19]
{
  "formula": "TeOs3",
  "functional": "PBE",
  "state": "optimized geometry",
  "spacegroup": "No. 44",
  "e_form_raw_kj_per_mol_atoms": 65.26,
  "magnetic_moment_mub_per_cell": 0.000,
  "cell": [[-3.6010, -0.7795, 4.0213], [1.8111, -1.2124, 4.9996], [-0.1872, 3.5103, -4.1700]],
  "species": ["Te", "Os", "Os", "Os"],
  "fractional_positions": [[0.4172, 0.7500, 0.6672], [0.9547, 0.9753, 0.9795], [0.5042, 0.5247, 0.9795], [0.9572, 0.2500, 0.7072]]
}

[20]
{
  "formula": "Te6Os7",
  "functional": "PBE",
  "state": "optimized geometry",
  "spacegroup": "No. 166",
  "e_form_raw_kj_per_mol_atoms": 73.76,
  "magnetic_moment_mub_per_cell": 0.001,
  "cell": [[-4.6813, -10.3229, 2.9346], [0.1360, -11.6836, 0.7512], [-0.1433, -10.0754, 5.9627]],
  "species": ["Os", "Os", "Os", "Os", "Os", "Os", "Os", "Te", "Te", "Te", "Te", "Te", "Te"],
  "fractional_positions": [[0.5964, 0.1018, 0.5964], [0.4036, 0.4036, 0.8982], [0.5964, 0.5964, 0.1018], [0.4036, 0.8982, 0.4036], [0.1018, 0.5964, 0.5964], [0.5000, 0.5000, 0.5000], [0.8982, 0.4036, 0.4036], [0.0713, 0.0713, 0.0713], [0.1732, 0.1732, 0.1732], [0.3659, 0.3659, 0.3659], [0.8268, 0.8268, 0.8268], [0.6341, 0.6341, 0.6341], [0.9287, 0.9287, 0.9287]]
}